RbZrGa2Cl8 after structural relaxation, computed with PBE.

Calculated values
The volume comes out at 32.708 A^3/atom. Its formation energy from raw total energies is -1.344 eV/atom. Its total magnetization is 0.001 μB/f.u. As for the density of states at the Fermi level: 5.7 states/eV/f.u. As for the crystal system: triclinic. As for the symmetry: No. 2.

a = 6.6220 Å, b = 6.7933 Å, c = 9.0096 Å
α = 77.11°, β = 85.79°, γ = 84.15°
Sites, in units of the cell vectors:
1 Cl 0.1396 0.7437 0.2294
2 Zr 0.0000 0.0000 0.0000
3 Cl 0.6043 0.7112 0.4903
4 Ga 0.5196 0.5595 0.2743
5 Cl 0.8001 0.1896 0.1750
6 Cl 0.1999 0.8104 0.8250
7 Cl 0.2841 0.2108 0.9966
8 Cl 0.7159 0.7892 0.0034
9 Cl 0.3957 0.2888 0.5097
10 Rb 0.0000 0.0000 0.5000
11 Cl 0.8604 0.2563 0.7706
12 Ga 0.4804 0.4405 0.7257